Below is crystalline TlCu2Te at its relaxed geometry, with properties calculated at the PBE level.

Calculated values
Total magnetic moment: 0.0 μB/cell
ΔE to the lowest computed polymorph: 79 meV/atom

Cell lengths 4.1623, 4.1623, 6.2525 Å; angles 71.94, 71.94, 59.63 degrees
With the nearest neighbours (Å) after each atom.
Element x y z (fractional)
1 Cu 0.0181 0.0181 0.9522  3 Te 2.66-2.68, 1 Tl 2.92
2 Cu 0.4819 0.4819 0.5478  3 Te 2.66-2.68, 1 Tl 2.92
3 Te 0.7500 0.7500 0.7500  6 Cu 2.66-2.68
4 Tl 0.2500 0.2500 0.2500  6 Cu 2.92-2.99

***

Below is crystalline Tl3CuTe3 at its relaxed geometry, with properties calculated at the PBE level.

Calculated values
Total magnetic moment: 0.0 μB/cell

Cell lengths 4.5874, 6.6797, 17.3467 Å; angles 98.61, 82.40, 69.92 degrees
With the nearest neighbours (Å) after each atom.
Element x y z (fractional)
1 Tl 0.5403 0.2967 0.6227  1 Cu 3.19, 2 Te 3.32
2 Tl 0.4597 0.7033 0.3773  1 Cu 3.19, 2 Te 3.32
3 Tl 0.2655 0.2352 0.2339  3 Te 3.33-3.68, 2 Cu 3.51, 1 Tl 3.63
4 Tl 0.7345 0.7648 0.7661  3 Te 3.33-3.68, 2 Cu 3.51, 1 Tl 3.63
5 Tl 0.4126 0.2516 0.9233  5 Te 3.34-3.68, 1 Tl 3.63
6 Tl 0.5874 0.7484 0.0767  5 Te 3.34-3.68, 1 Tl 3.63
7 Cu 0.7077 0.1995 0.3851  3 Te 2.56
8 Cu 0.2923 0.8005 0.6149  3 Te 2.56
9 Te 0.8681 0.7145 0.5492  2 Cu 2.56, 1 Te 2.86
10 Te 0.1319 0.2855 0.4508  2 Cu 2.56, 1 Te 2.86
11 Te 0.1264 0.8059 0.9413  1 Te 2.82
12 Te 0.8736 0.1941 0.0587  1 Te 2.82
13 Te 0.9282 0.8779 0.2658  1 Cu 2.56
14 Te 0.0718 0.1221 0.7342  1 Cu 2.56

***

| no. | total DFT energy (no corrections) (eV/atom) | formation energy without anion corrections (meV/atom) | Fermi-level density of states (states/eV/cell) |
| --- | --- | --- | --- |
| 1 | -3.2824 | 143 | 1.3 |
| 2 | -3.1064 | -161 | 0.4 |